(1)
A plane-wave DFT calculation with PBE was carried out for a geometry-optimized TmScPb2 structure.

Computed properties:
Crystal system: tetragonal
SG: No. 123
Energy of formation: -0.338 eV per atom

```
TmScPb2
1.0
3.458 0.000 0.000
0.000 3.458 0.000
0.000 0.000 8.720
Tm Sc Pb
1 1 2
direct
0.000 0.000 0.000 Tm
0.000 0.000 0.500 Sc
0.500 0.500 0.258 Pb
0.500 0.500 0.742 Pb
```

---

(2)
A plane-wave DFT calculation with PBE was carried out for a geometry-optimized TlCoSi2H structure.

Computed properties:
Crystal system: tetragonal
Raw total energy: -3.988 eV per atom
SG: No. 123

```
TlCoSi2H
1.0
3.776 0.000 0.000
0.000 3.776 0.000
0.000 0.000 4.918
Tl Co Si H
1 1 2 1
direct
0.000 0.000 0.000 Tl
0.500 0.500 0.000 Co
0.000 0.500 0.500 Si
0.500 0.000 0.500 Si
0.000 0.000 0.500 H
```

---

(3)
A plane-wave DFT calculation with PBE was carried out for a geometry-optimized BeReAu2 structure.

Computed properties:
Crystal system: tetragonal
SG: No. 139
Energy of formation: 0.610 eV per atom

```
BeReAu2
1.0
3.981 0.000 0.000
0.000 3.981 0.000
0.000 0.000 7.730
Be Re Au
2 2 4
direct
0.000 0.000 0.000 Be
0.500 0.500 0.500 Be
0.000 0.000 0.500 Re
0.500 0.500 0.000 Re
0.000 0.500 0.250 Au
0.000 0.500 0.750 Au
0.500 0.000 0.250 Au
0.500 0.000 0.750 Au
```

---

(4)
A plane-wave DFT calculation with PBE was carried out for a geometry-optimized InCoIr2 structure.

Computed properties:
Crystal system: orthorhombic
SG: No. 44
Energy of formation: 0.265 eV per atom

```
InCoIr2
1.0
2.888 0.000 0.000
0.000 4.582 0.000
0.000 0.000 9.193
In Co Ir
2 2 4
direct
0.000 0.000 0.000 In
0.500 0.500 0.500 In
0.000 0.500 0.250 Co
0.500 0.000 0.750 Co
0.000 0.000 0.522 Ir
0.000 0.500 0.766 Ir
0.500 0.000 0.266 Ir
0.500 0.500 0.022 Ir
```

---

(5)
A plane-wave DFT calculation with PBE was carried out for a geometry-optimized CaZrAu structure.

Computed properties:
Energy above the lowest structure with this stoichiometry: 0.137 eV/atom
Crystal system: trigonal
SG: No. 156
Energy of formation: -0.118 eV per atom

```
CaZrAu
1.0
4.762 0.000 0.000
-2.381 4.124 0.000
0.000 0.000 3.902
Ca Zr Au
1 1 1
direct
0.000 0.000 0.000 Ca
0.667 0.333 0.474 Zr
0.333 0.667 0.575 Au
```

---

(6)
A plane-wave DFT calculation with PBE was carried out for a geometry-optimized Ca2Zn7Ga structure.

Computed properties:
Crystal system: tetragonal
SG: No. 115
Energy of formation: -0.262 eV per atom

```
Ca2Zn7Ga
1.0
4.155 0.000 0.000
0.000 4.155 0.000
0.000 0.000 11.135
Ca Zn Ga
2 7 1
direct
0.000 0.500 0.248 Ca
0.500 0.000 0.752 Ca
0.000 0.000 0.000 Zn
0.000 0.000 0.500 Zn
0.000 0.500 0.639 Zn
0.000 0.500 0.862 Zn
0.500 0.000 0.138 Zn
0.500 0.000 0.361 Zn
0.500 0.500 0.500 Zn
0.500 0.500 0.000 Ga
```

---

(7)
A plane-wave DFT calculation with PBE was carried out for a geometry-optimized Cs8HgAu2S structure.

Computed properties:
Formation energy without anion corrections: -0.37 eV per atom
Crystal system: monoclinic
SG: No. 10

```
Cs8HgAu2S
1.0
8.622 0.000 0.000
0.000 10.738 0.000
-0.130 0.000 8.716
Cs Hg Au S
8 1 2 1
direct
0.221 0.000 0.361 Cs
0.251 0.500 0.304 Cs
0.270 0.280 0.834 Cs
0.270 0.720 0.834 Cs
0.730 0.280 0.166 Cs
0.730 0.720 0.166 Cs
0.749 0.500 0.696 Cs
0.779 0.000 0.639 Cs
0.500 0.000 0.000 Hg
0.000 0.267 0.500 Au
0.000 0.733 0.500 Au
0.500 0.500 0.000 S
```